Version one
Below is an optimized crystal structure of YFeSiNi, with properties calculated at the PBE level.

```
YFeSiNi
1.0
0.357 -0.537 4.286
-3.561 -0.202 2.463
-1.167 -3.757 1.818
Y Fe Ni Si
1 1 1 1
direct
0.500 0.500 0.500
0.750 0.750 0.750
0.250 0.250 0.250
0.000 0.000 0.000
```

Computed properties:
- space group = No. 216
- total magnetization (μB per formula unit) = 1.0

---

Version two
Below is an optimized crystal structure of YFeSiNi, with properties calculated at the PBE level.

```
YFeSiNi
1.0
-3.374 -0.028 2.956
-3.893 -1.960 -1.059
-1.198 -3.833 1.999
Ni Si Fe Y
1 1 1 1
direct
0.500 0.500 0.500
0.000 0.000 0.000
0.750 0.750 0.750
0.250 0.250 0.250
```

Computed properties:
- space group = No. 216
- total magnetization (μB per formula unit) = 2.9

---

Stability summary: most stable version one, least stable version two.

---

Version one
Below is an optimized crystal structure of ZnFeSiNi, with properties calculated at the PBE level.

```
ZnFeSiNi
1.0
0.000 2.828 2.828
2.828 0.000 2.828
2.828 2.828 0.000
Fe Si Zn Ni
1 1 1 1
direct
0.250 0.250 0.250
0.000 0.000 0.000
0.500 0.500 0.500
0.750 0.750 0.750
```

Computed properties:
- space group = No. 216
- total magnetization (μB per formula unit) = 0.4

---

Version two
Below is an optimized crystal structure of ZnFeSiNi, with properties calculated at the PBE level.

```
ZnFeSiNi
1.0
3.342 -1.754 -1.408
2.635 -1.657 2.557
0.396 -4.005 0.168
Si Ni Fe Zn
1 1 1 1
direct
0.250 0.250 0.250
0.750 0.750 0.750
0.500 0.500 0.500
0.000 0.000 0.000
```

Computed properties:
- space group = No. 216
- total magnetization (μB per formula unit) = 1.7

---

Stability summary: most stable version one, least stable version two.

---

Version one
Below is an optimized crystal structure of ZrFeSiNi, with properties calculated at the PBE level.

```
ZrFeSiNi
1.0
0.000 3.052 3.052
3.052 0.000 3.052
3.052 3.052 0.000
Fe Ni Si Zr
1 1 1 1
direct
0.750 0.750 0.750
0.500 0.500 0.500
0.000 0.000 0.000
0.250 0.250 0.250
```

Computed properties:
- space group = No. 216
- total magnetization (μB per formula unit) = 2.3

---

Version two
Below is an optimized crystal structure of ZrFeSiNi, with properties calculated at the PBE level.

```
ZrFeSiNi
1.0
0.000 3.007 3.007
3.007 0.000 3.007
3.007 3.007 0.000
Ni Zr Si Fe
1 1 1 1
direct
0.250 0.250 0.250
0.500 0.500 0.500
0.000 0.000 0.000
0.750 0.750 0.750
```

Computed properties:
- space group = No. 216
- total magnetization (μB per formula unit) = 1.7

---

Stability summary: most stable version two, least stable version one.

---

Version one
Below is an optimized crystal structure of TaFeNiSn, with properties calculated at the PBE level.

```
TaFeNiSn
1.0
0.000 3.139 3.139
3.139 0.000 3.139
3.139 3.139 0.000
Sn Fe Ni Ta
1 1 1 1
direct
0.000 0.000 0.000
0.500 0.500 0.500
0.750 0.750 0.750
0.250 0.250 0.250
```

Computed properties:
- space group = No. 216
- total magnetization (μB per formula unit) = 1.9

---

Version two
Below is an optimized crystal structure of TaFeNiSn, with properties calculated at the PBE level.

```
TaFeNiSn
1.0
3.185 -2.402 -1.930
0.657 -4.206 1.232
-1.076 -3.307 -2.746
Sn Ni Ta Fe
1 1 1 1
direct
0.000 0.000 0.000
0.500 0.500 0.500
0.250 0.250 0.250
0.750 0.750 0.750
```

Computed properties:
- space group = No. 216
- total magnetization (μB per formula unit) = 1.8

---

Stability summary: most stable version one, least stable version two.

---

Version one
Below is an optimized crystal structure of YFeNiSn, with properties calculated at the PBE level.

```
YFeNiSn
1.0
3.194 -3.254 -0.584
-1.265 -4.367 -0.674
0.570 -1.947 -4.124
Y Fe Ni Sn
1 1 1 1
direct
0.500 0.500 0.500
0.750 0.750 0.750
0.250 0.250 0.250
0.000 0.000 0.000
```

Computed properties:
- space group = No. 216
- total magnetization (μB per formula unit) = 1.8

---

Version two
Below is an optimized crystal structure of YFeNiSn, with properties calculated at the PBE level.

```
YFeNiSn
1.0
-2.228 -1.241 3.961
-1.663 3.315 2.905
-4.646 0.669 0.397
Y Sn Ni Fe
1 1 1 1
direct
0.250 0.250 0.250
0.000 0.000 0.000
0.500 0.500 0.500
0.750 0.750 0.750
```

Computed properties:
- space group = No. 216
- total magnetization (μB per formula unit) = 2.9

---

Stability summary: most stable version one, least stable version two.

---

Version one
Below is an optimized crystal structure of ZnFeNiSn, with properties calculated at the PBE level.

```
ZnFeNiSn
1.0
-0.675 -3.207 -2.765
-3.952 -1.577 -0.532
-2.126 0.729 -3.652
Zn Sn Ni Fe
1 1 1 1
direct
0.500 0.500 0.500
0.000 0.000 0.000
0.250 0.250 0.250
0.750 0.750 0.750
```

Computed properties:
- space group = No. 216
- total magnetization (μB per formula unit) = 1.6

---

Version two
Below is an optimized crystal structure of ZnFeNiSn, with properties calculated at the PBE level.

```
ZnFeNiSn
1.0
-3.318 -1.488 2.263
-3.460 -1.519 -2.018
-0.842 -4.200 0.058
Zn Fe Ni Sn
1 1 1 1
direct
0.500 0.500 0.500
0.750 0.750 0.750
0.000 0.000 0.000
0.250 0.250 0.250
```

Computed properties:
- space group = No. 216
- total magnetization (μB per formula unit) = 2.7

---

Stability summary: most stable version one, least stable version two.